Record 1
{"formula": "RbLiTc2Cl", "functional": "PBE-GGA", "state": "relaxed", "cell": [[5.282, 0.000, 0.000], [0.000, 5.282, 0.000], [0.000, 0.000, 5.875]], "species": ["Rb", "Li", "Tc", "Tc", "Cl"], "fractional_positions": [[0.000, 0.000, 0.000], [0.500, 0.500, 0.500], [0.000, 0.500, 0.000], [0.500, 0.000, 0.000], [0.000, 0.000, 0.500]], "formation_energy_uncorrected_ev_per_atom": 2.059, "final_energy_ev_per_cell": -15.2, "space_group": "P4/mmm", "n_ef_per_ev_atom": 1.012}

***

Record 2
{"formula": "NpPa3C4", "functional": "PBE-GGA", "state": "relaxed", "cell": [[-2.524, 2.524, 5.062], [2.524, -2.524, 5.062], [2.524, 2.524, -5.062]], "species": ["Np", "Pa", "Pa", "Pa", "C", "C", "C", "C"], "fractional_positions": [[0.000, 0.000, 0.000], [0.250, 0.750, 0.500], [0.500, 0.500, 0.000], [0.750, 0.250, 0.500], [0.000, 0.500, 0.500], [0.249, 0.249, 0.000], [0.500, 0.000, 0.500], [0.751, 0.751, 0.000]], "delta_e_f_ev_per_atom": -0.289, "final_energy_ev_per_cell": -80.6, "space_group": "I4/mmm", "n_ef_per_ev_atom": 1.167}